This record from Alexandria describes a geometry-optimized CrPRu2F structure. The functional is PBE+U.

Values from the calculation:
density of states at the Fermi level = 4.412 states/eV/cell
raw total energy = -5.8371 eV per atom

a = 4.104 Å, b = 4.457 Å, c = 4.104 Å
α = 90.00°, β = 90.00°, γ = 90.00°
Each line ends with the local moment (μB).
Positions (direct):
Ru 0.000 0.000 0.500  -0.59
Ru 0.500 0.000 0.000  -0.48
F 0.000 0.000 0.000  -0.01
P 0.000 0.500 0.000  -0.12
Cr 0.500 0.500 0.500  3.92